Entry from Alexandria: Na3Sm3NbSe8 after structural relaxation (PBE-GGA).

Results
Volume: 27.93 Å³/atom
Space group: R-3m (166)
Raw formation energy: -33.437 kcal/mol of atoms

Cell: 8.5629 8.5629 8.5629 Å, 57.55 57.55 57.55°
Last column: nearest neighbours and their distance in Å.
Positions (direct):
Na  0.0000  0.5000  0.5000  6 Se 3.03-3.04
Na  0.5000  0.0000  0.5000  6 Se 3.03-3.04
Na  0.5000  0.5000  0.0000  6 Se 3.03-3.04
Sm  0.0000  0.0000  0.5000  6 Se 2.92-2.93
Sm  0.0000  0.5000  0.0000  6 Se 2.92-2.93
Sm  0.5000  0.0000  0.0000  6 Se 2.92-2.93
Nb  0.5000  0.5000  0.5000  6 Se 2.69
Se  0.2456  0.2456  0.2456  3 Sm 2.92, 3 Na 3.03
Se  0.2660  0.7267  0.7267  1 Nb 2.69, 2 Sm 2.93
Se  0.2733  0.2733  0.7340  1 Nb 2.69, 2 Sm 2.93
Se  0.2733  0.7340  0.2733  1 Nb 2.69, 2 Sm 2.93
Se  0.7267  0.2660  0.7267  1 Nb 2.69, 2 Sm 2.93
Se  0.7267  0.7267  0.2660  1 Nb 2.69, 2 Sm 2.93
Se  0.7340  0.2733  0.2733  1 Nb 2.69, 2 Sm 2.93
Se  0.7544  0.7544  0.7544  3 Sm 2.92, 3 Na 3.03

***

Entry from Alexandria: Tl2SnHg after structural relaxation (PBE-GGA).

Results
Energy above the most stable polymorph in this dataset: 0.041 eV/atom
Volume: 29.04 Å³/atom
Space group: Fm-3m (225)
ΔE_f: 0.050 eV per atom

Cell: 7.7453 7.7453 7.7453 Å, 90.00 90.00 90.00°
Last column: nearest neighbours and their distance in Å.
Positions (direct):
Tl  0.2500  0.2500  0.2500  4 Hg 3.35, 4 Sn 3.35
Tl  0.2500  0.2500  0.7500  4 Hg 3.35, 4 Sn 3.35
Tl  0.2500  0.7500  0.2500  4 Hg 3.35, 4 Sn 3.35
Tl  0.2500  0.7500  0.7500  4 Hg 3.35, 4 Sn 3.35
Tl  0.7500  0.2500  0.2500  4 Hg 3.35, 4 Sn 3.35
Tl  0.7500  0.2500  0.7500  4 Hg 3.35, 4 Sn 3.35
Tl  0.7500  0.7500  0.2500  4 Hg 3.35, 4 Sn 3.35
Tl  0.7500  0.7500  0.7500  4 Hg 3.35, 4 Sn 3.35
Sn  0.0000  0.0000  0.0000  8 Tl 3.35
Sn  0.0000  0.5000  0.5000  8 Tl 3.35
Sn  0.5000  0.0000  0.5000  8 Tl 3.35
Sn  0.5000  0.5000  0.0000  8 Tl 3.35
Hg  0.0000  0.0000  0.5000  8 Tl 3.35
Hg  0.0000  0.5000  0.0000  8 Tl 3.35
Hg  0.5000  0.0000  0.0000  8 Tl 3.35
Hg  0.5000  0.5000  0.5000  8 Tl 3.35

***

Entry from Alexandria: YH6Pt3 after structural relaxation (PBE-GGA).

Results
Volume: 10.47 Å³/atom
Space group: P1 (1)

Cell: 4.6935 4.9163 5.1155 Å, 79.97 75.49 66.85°
Last column: nearest neighbours and their distance in Å.
Positions (direct):
Y  0.0000  0.0000  0.0000  8 H 2.41-2.60
H  0.0543  0.9171  0.4991  2 Pt 1.76-1.85
H  0.4580  0.3948  0.1526  2 Pt 1.72-1.89
H  0.5734  0.9873  0.8269  2 Pt 1.71-1.85
H  0.5839  0.8337  0.3359  2 Pt 1.73-1.80
H  0.8992  0.4242  0.3922  2 Pt 1.70-1.79
H  0.9455  0.5401  0.9004  2 Pt 1.73-1.79
Pt  0.2630  0.1589  0.4067  4 H 1.70-1.89
Pt  0.3684  0.3934  0.8478  3 H 1.72-1.85
Pt  0.7863  0.7091  0.6156  5 H 1.71-1.85

***

Entry from Alexandria: BaMg3Cd2 after structural relaxation (PBE-GGA).

Results
Energy above the most stable polymorph in this dataset: 0.027 eV/atom
Volume: 29.02 Å³/atom
Space group: P6_3/mmc (194)
ΔE_f: -0.163 eV per atom

Cell: 4.9448 4.9448 16.4477 Å, 90.00 90.00 120.00°
Last column: nearest neighbours and their distance in Å.
Positions (direct):
Ba  0.0000  0.0000  0.2500  6 Cd 3.70, 8 Mg 3.98-4.11
Ba  0.0000  0.0000  0.7500  6 Cd 3.70, 8 Mg 3.98-4.11
Mg  0.0000  0.0000  0.0000  6 Mg 3.15, 6 Cd 3.35
Mg  0.0000  0.0000  0.5000  6 Mg 3.15, 6 Cd 3.35
Mg  0.3333  0.6667  0.0812  4 Cd 2.88-3.09, 3 Mg 3.15
Mg  0.3333  0.6667  0.4188  4 Cd 2.88-3.09, 3 Mg 3.15
Mg  0.6667  0.3333  0.5812  4 Cd 2.88-3.09, 3 Mg 3.15
Mg  0.6667  0.3333  0.9188  4 Cd 2.88-3.09, 3 Mg 3.15
Cd  0.3333  0.6667  0.6065  4 Mg 2.88-3.09
Cd  0.3333  0.6667  0.8935  4 Mg 2.88-3.09
Cd  0.6667  0.3333  0.1065  4 Mg 2.88-3.09
Cd  0.6667  0.3333  0.3935  4 Mg 2.88-3.09

***

Number 1: energy -5.19 eV/atom. Number 2: energy -2.21 eV/atom. Number 3: energy -4.78 eV/atom. Number 4: energy -1.59 eV/atom.